(1)
# TlSbAs2

A relaxed TlSbAs2 crystal (PBE-GGA, Alexandria via LeMat-Bulk).

Values from the calculation:
energy relative to the elements, uncorrected = 30.9 kJ/mol of atoms

```
data_TlSbAs2
_chemical_formula_sum 'Tl4 Sb4 As8'
_cell_length_a 7.243
_cell_length_b 7.243
_cell_length_c 7.243
_cell_angle_alpha 90.00
_cell_angle_beta 90.00
_cell_angle_gamma 90.00
_space_group_name_H-M_alt 'F m -3 m'
_space_group_IT_number 225
_space_group_name_Hall '-F 4 2 3'
loop_
_atom_site_label
_atom_site_fract_x
_atom_site_fract_y
_atom_site_fract_z
_atom_site_occupancy
Tl1 0.000 0.000 0.000 1
Sb1 0.000 0.000 0.500 1
As1 0.250 0.250 0.250 1
```

(2)
# Tl3SbAs

A relaxed Tl3SbAs crystal (PBE-GGA, Alexandria via LeMat-Bulk).

Values from the calculation:
energy relative to the elements, uncorrected = 59.3 kJ/mol of atoms

```
data_Tl3SbAs
_chemical_formula_sum 'Tl3 Sb1 As1'
_cell_length_a 5.777
_cell_length_b 5.777
_cell_length_c 5.777
_cell_angle_alpha 90.00
_cell_angle_beta 90.00
_cell_angle_gamma 90.00
_space_group_name_H-M_alt 'P m -3 m'
_space_group_IT_number 221
_space_group_name_Hall '-P 4 2 3'
loop_
_atom_site_label
_atom_site_fract_x
_atom_site_fract_y
_atom_site_fract_z
_atom_site_occupancy
Tl1 0.000 0.000 0.500 1
Sb1 0.000 0.000 0.000 1
As1 0.500 0.500 0.500 1
```

(3)
# TlSb2As

A relaxed TlSb2As crystal (PBE-GGA, Alexandria via LeMat-Bulk).

Values from the calculation:
energy relative to the elements, uncorrected = 30.5 kJ/mol of atoms

```
data_TlSb2As
_chemical_formula_sum 'Tl4 Sb8 As4'
_cell_length_a 7.447
_cell_length_b 7.447
_cell_length_c 7.447
_cell_angle_alpha 90.00
_cell_angle_beta 90.00
_cell_angle_gamma 90.00
_space_group_name_H-M_alt 'F m -3 m'
_space_group_IT_number 225
_space_group_name_Hall '-F 4 2 3'
loop_
_atom_site_label
_atom_site_fract_x
_atom_site_fract_y
_atom_site_fract_z
_atom_site_occupancy
Tl1 0.000 0.000 0.000 1
Sb1 0.250 0.250 0.250 1
As1 0.000 0.000 0.500 1
```

(4)
# Tl4SbAs

A relaxed Tl4SbAs crystal (PBE-GGA, Alexandria via LeMat-Bulk).

Values from the calculation:
energy relative to the elements, uncorrected = 3.0 kJ/mol of atoms

```
data_Tl4SbAs
_chemical_formula_sum 'Tl16 Sb4 As4'
_cell_length_a 9.536
_cell_length_b 22.914
_cell_length_c 3.510
_cell_angle_alpha 90.00
_cell_angle_beta 108.95
_cell_angle_gamma 90.00
_space_group_name_H-M_alt 'C 1 2/c 1'
_space_group_IT_number 15
loop_
_space_group_symop_operation_xyz
'x,y,z'
'-x,-y,-z'
'-x,y,-z+1/2'
'x,-y,z+1/2'
'x+1/2,y+1/2,z'
'-x+1/2,-y+1/2,-z'
'-x+1/2,y+1/2,-z+1/2'
'x+1/2,-y+1/2,z+1/2'
loop_
_atom_site_label
_atom_site_fract_x
_atom_site_fract_y
_atom_site_fract_z
_atom_site_occupancy
Tl1 0.165 0.186 0.128 1
Tl2 0.176 0.434 0.139 1
Sb1 0.000 0.312 0.250 1
As1 0.000 0.038 0.250 1
```

(5)
# Tl3SbAs

A relaxed Tl3SbAs crystal (PBE-GGA, Alexandria via LeMat-Bulk).

Values from the calculation:
energy relative to the elements, uncorrected = 5.4 kJ/mol of atoms

```
data_Tl3SbAs
_chemical_formula_sum 'Tl12 Sb4 As4'
_cell_length_a 11.416
_cell_length_b 9.736
_cell_length_c 8.012
_cell_angle_alpha 90.00
_cell_angle_beta 134.47
_cell_angle_gamma 90.00
_space_group_name_H-M_alt 'C 1 2/m 1'
_space_group_IT_number 12
loop_
_space_group_symop_operation_xyz
'x,y,z'
'-x,-y,-z'
'-x,y,-z'
'x,-y,z'
'x+1/2,y+1/2,z'
'-x+1/2,-y+1/2,-z'
'-x+1/2,y+1/2,-z'
'x+1/2,-y+1/2,z'
loop_
_atom_site_label
_atom_site_fract_x
_atom_site_fract_y
_atom_site_fract_z
_atom_site_occupancy
Tl1 0.002 0.000 0.265 1
Tl2 0.239 0.303 0.237 1
Sb1 0.003 0.500 0.250 1
As1 0.232 0.500 0.734 1
```

(6)
# Tl2SbAs

A relaxed Tl2SbAs crystal (PBE-GGA, Alexandria via LeMat-Bulk).

Values from the calculation:
energy relative to the elements, uncorrected = 3.3 kJ/mol of atoms

```
data_Tl2SbAs
_chemical_formula_sum 'Tl6 Sb3 As3'
_cell_length_a 3.8559
_cell_length_b 3.8559
_cell_length_c 28.0776
_cell_angle_alpha 90.00
_cell_angle_beta 90.00
_cell_angle_gamma 120.00
_space_group_name_H-M_alt 'R 3 m'
_space_group_IT_number 160
_space_group_name_Hall 'R 3 -2"'
loop_
_atom_site_label
_atom_site_fract_x
_atom_site_fract_y
_atom_site_fract_z
_atom_site_occupancy
Tl1 0.0000 0.0000 0.0000 1
Tl2 0.0000 0.0000 0.2401 1
Sb1 0.0000 0.0000 0.7642 1
As1 0.0000 0.0000 0.4872 1
```

(7)
# TlSb2As

A relaxed TlSb2As crystal (PBE-GGA, Alexandria via LeMat-Bulk).

Values from the calculation:
energy relative to the elements, uncorrected = 20.9 kJ/mol of atoms

```
data_TlSb2As
_chemical_formula_sum 'Tl2 Sb4 As2'
_cell_length_a 4.118
_cell_length_b 5.336
_cell_length_c 9.901
_cell_angle_alpha 90.00
_cell_angle_beta 90.00
_cell_angle_gamma 90.00
_space_group_name_H-M_alt 'C m m 2'
_space_group_IT_number 35
loop_
_space_group_symop_operation_xyz
'x,y,z'
'-x,-y,z'
'-x,y,z'
'x,-y,z'
'x+1/2,y+1/2,z'
'-x+1/2,-y+1/2,z'
'-x+1/2,y+1/2,z'
'x+1/2,-y+1/2,z'
loop_
_atom_site_label
_atom_site_fract_x
_atom_site_fract_y
_atom_site_fract_z
_atom_site_occupancy
Tl1 0.000 0.000 0.000 1
Sb1 0.000 0.000 0.544 1
Sb2 0.000 0.500 0.271 1
As1 0.000 0.500 0.735 1
```

(8)
# Tl2SbAs

A relaxed Tl2SbAs crystal (PBE-GGA, Alexandria via LeMat-Bulk).

Values from the calculation:
energy relative to the elements, uncorrected = 25.4 kJ/mol of atoms

```
data_Tl2SbAs
_chemical_formula_sum 'Tl8 Sb4 As4'
_cell_length_a 7.588
_cell_length_b 7.588
_cell_length_c 7.588
_cell_angle_alpha 90.00
_cell_angle_beta 90.00
_cell_angle_gamma 90.00
_space_group_name_H-M_alt 'F m -3 m'
_space_group_IT_number 225
_space_group_name_Hall '-F 4 2 3'
loop_
_atom_site_label
_atom_site_fract_x
_atom_site_fract_y
_atom_site_fract_z
_atom_site_occupancy
Tl1 0.250 0.250 0.250 1
Sb1 0.000 0.000 0.000 1
As1 0.000 0.000 0.500 1
```

(9)
# TlSb2As

A relaxed TlSb2As crystal (PBE-GGA, Alexandria via LeMat-Bulk).

Values from the calculation:
energy relative to the elements, uncorrected = 27.3 kJ/mol of atoms

```
data_TlSb2As
_chemical_formula_sum 'Tl1 Sb2 As1'
_cell_length_a 4.715
_cell_length_b 4.715
_cell_length_c 4.792
_cell_angle_alpha 90.00
_cell_angle_beta 90.00
_cell_angle_gamma 90.00
_space_group_name_H-M_alt 'P 4/m m m'
_space_group_IT_number 123
_space_group_name_Hall '-P 4 2'
loop_
_atom_site_label
_atom_site_fract_x
_atom_site_fract_y
_atom_site_fract_z
_atom_site_occupancy
Tl1 0.000 0.000 0.000 1
Sb1 0.000 0.500 0.500 1
As1 0.500 0.500 0.000 1
```

(10)
# TlSbAs

A relaxed TlSbAs crystal (PBE-GGA, Alexandria via LeMat-Bulk).

Values from the calculation:
energy relative to the elements, uncorrected = 2.4 kJ/mol of atoms

```
data_TlSbAs
_chemical_formula_sum 'Tl1 Sb1 As1'
_cell_length_a 3.9095
_cell_length_b 3.9095
_cell_length_c 6.6694
_cell_angle_alpha 90.00
_cell_angle_beta 90.00
_cell_angle_gamma 120.00
_space_group_name_H-M_alt 'P 3 m 1'
_space_group_IT_number 156
loop_
_space_group_symop_operation_xyz
'x,y,z'
'-y,x-y,z'
'-x+y,-x,z'
'-y,-x,z'
'-x+y,y,z'
'x,x-y,z'
loop_
_atom_site_label
_atom_site_fract_x
_atom_site_fract_y
_atom_site_fract_z
_atom_site_occupancy
Tl1 0.0000 0.0000 0.0000 1
Sb1 0.3333 0.6667 0.5922 1
As1 0.6667 0.3333 0.3568 1
```

(11)
# TlSb2As

A relaxed TlSb2As crystal (PBE-GGA, Alexandria via LeMat-Bulk).

Values from the calculation:
energy relative to the elements, uncorrected = 26.2 kJ/mol of atoms

```
data_TlSb2As
_chemical_formula_sum 'Tl2 Sb4 As2'
_cell_length_a 6.529
_cell_length_b 10.678
_cell_length_c 3.156
_cell_angle_alpha 90.00
_cell_angle_beta 108.93
_cell_angle_gamma 90.00
_space_group_name_H-M_alt 'C 1 2/m 1'
_space_group_IT_number 12
loop_
_space_group_symop_operation_xyz
'x,y,z'
'-x,-y,-z'
'-x,y,-z'
'x,-y,z'
'x+1/2,y+1/2,z'
'-x+1/2,-y+1/2,-z'
'-x+1/2,y+1/2,-z'
'x+1/2,-y+1/2,z'
loop_
_atom_site_label
_atom_site_fract_x
_atom_site_fract_y
_atom_site_fract_z
_atom_site_occupancy
Tl1 0.000 0.000 0.000 1
Sb1 0.250 0.250 0.500 1
As1 0.000 0.500 0.000 1
```

(12)
# Tl2SbAs

A relaxed Tl2SbAs crystal (PBE-GGA, Alexandria via LeMat-Bulk).

Values from the calculation:
energy relative to the elements, uncorrected = 1.9 kJ/mol of atoms

```
data_Tl2SbAs
_chemical_formula_sum 'Tl4 Sb2 As2'
_cell_length_a 12.319
_cell_length_b 3.825
_cell_length_c 5.680
_cell_angle_alpha 90.00
_cell_angle_beta 117.07
_cell_angle_gamma 90.00
_space_group_name_H-M_alt 'C 1 m 1'
_space_group_IT_number 8
loop_
_space_group_symop_operation_xyz
'x,y,z'
'x,-y,z'
'x+1/2,y+1/2,z'
'x+1/2,-y+1/2,z'
loop_
_atom_site_label
_atom_site_fract_x
_atom_site_fract_y
_atom_site_fract_z
_atom_site_occupancy
Tl1 0.000 0.000 0.000 1
Tl2 0.221 0.000 0.731 1
Sb1 0.434 0.000 0.436 1
As1 0.263 0.500 0.276 1
```

Number 1: Fermi-level density of states 10.09 states/eV/cell. Number 2: Fermi-level density of states 3.16 states/eV/cell. Number 3: Fermi-level density of states 11.39 states/eV/cell. Number 4: Fermi-level density of states 11.12 states/eV/cell. Number 5: Fermi-level density of states 6.21 states/eV/cell. Number 6: Fermi-level density of states 6.20 states/eV/cell. Number 7: Fermi-level density of states 2.42 states/eV/cell. Number 8: Fermi-level density of states 12.81 states/eV/cell. Number 9: Fermi-level density of states 1.33 states/eV/cell. Number 10: Fermi-level density of states 1.33 states/eV/cell. Number 11: Fermi-level density of states 4.14 states/eV/cell. Number 12: Fermi-level density of states 3.07 states/eV/cell.